Entry from Alexandria via LeMat-Bulk: crystalline NaPN2 at its relaxed geometry (PBE-GGA).

SG	R-3m, No. 166
formation energy from raw total energies	0.166	eV/atom
VASP energy	-22.7	eV for the cell shown

Unit cell a=6.115 b=6.115 c=6.115 alpha=36.07 beta=36.07 gamma=36.07
Sites, in units of the cell vectors:
1 N 0.911 0.911 0.911
2 P 0.000 0.000 0.000
3 Na 0.500 0.500 0.500
4 N 0.089 0.089 0.089


Entry from Alexandria via LeMat-Bulk: crystalline RbVSb2I at its relaxed geometry (PBE-GGA).

SG	P4/mmm, No. 123
formation energy from raw total energies	-0.196	eV/atom
VASP energy	-20.9	eV for the cell shown

Unit cell a=5.141 b=5.141 c=6.498 alpha=90.00 beta=90.00 gamma=90.00
Sites, in units of the cell vectors:
1 Sb 0.000 0.500 0.000
2 Rb 0.500 0.500 0.500
3 V 0.000 0.000 0.000
4 Sb 0.500 0.000 0.000
5 I 0.000 0.000 0.500


Entry from Alexandria via LeMat-Bulk: crystalline Pu2Ni9Rh at its relaxed geometry (PBE-GGA).

SG	R-3m, No. 166
VASP energy	-88.5	eV for the cell shown
calculated formation energy	-45	kJ/mol of formula units

Unit cell a=4.864 b=4.864 c=8.465 alpha=73.30 beta=73.30 gamma=60.00
Sites, in units of the cell vectors:
1 Pu 0.865 0.865 0.406
2 Ni 0.500 0.500 0.500
3 Ni 0.920 0.418 0.244
4 Rh 0.000 0.000 0.000
5 Ni 0.333 0.333 0.001
6 Ni 0.418 0.418 0.244
7 Ni 0.582 0.080 0.756
8 Ni 0.582 0.582 0.756
9 Pu 0.135 0.135 0.594
10 Ni 0.080 0.582 0.756
11 Ni 0.667 0.667 0.999
12 Ni 0.418 0.920 0.244


Entry from Alexandria via LeMat-Bulk: crystalline NiSe2 at its relaxed geometry (PBE-GGA).

SG	Pa-3, No. 205
formation energy from raw total energies	-0.230	eV/atom
VASP energy	-53.8	eV for the cell shown

Unit cell a=5.948 b=5.947 c=5.947 alpha=90.00 beta=90.00 gamma=90.00
Sites, in units of the cell vectors:
1 Se 0.122 0.378 0.878
2 Se 0.622 0.378 0.622
3 Se 0.878 0.622 0.122
4 Se 0.878 0.878 0.622
5 Se 0.378 0.878 0.878
6 Se 0.378 0.622 0.378
7 Se 0.122 0.122 0.378
8 Se 0.622 0.122 0.122
9 Ni 0.500 0.500 0.000
10 Ni 0.000 0.000 0.000
11 Ni 0.000 0.500 0.500
12 Ni 0.500 0.000 0.500